[1]
{
  "formula": "AsOsSeBr2",
  "functional": "PBE",
  "state": "relaxed",
  "space_group": "P4/mmm (123)",
  "formation_energy_uncorrected_ev_per_fu": 8.24,
  "n_ef_per_ev_atom": 1.4744,
  "crystal_system": "tetragonal",
  "relative_energy_kj_per_mol_fu": 445,
  "density_g_cm3": 5.99,
  "cell": [[5.059, 0.000, 0.000], [0.000, 5.059, 0.000], [0.000, 0.000, 5.455]],
  "species": ["As", "Os", "Se", "Br", "Br"],
  "fractional_positions": [[0.000, 0.000, 0.000], [0.500, 0.500, 0.000], [0.000, 0.000, 0.500], [0.000, 0.500, 0.500], [0.500, 0.000, 0.500]]
}

[2]
{
  "formula": "CsRb2CdHg",
  "functional": "PBE",
  "state": "relaxed",
  "space_group": "P4/mmm (123)",
  "n_ef_per_ev_atom": 1.1524,
  "crystal_system": "tetragonal",
  "formation_energy_ev_per_atom": 0.04,
  "relative_energy_kj_per_mol_fu": 34,
  "density_g_cm3": 2.95,
  "cell": [[6.947, 0.000, 0.000], [0.000, 6.947, 0.000], [0.000, 0.000, 7.191]],
  "species": ["Cs", "Rb", "Rb", "Cd", "Hg"],
  "fractional_positions": [[0.000, 0.000, 0.000], [0.000, 0.500, 0.500], [0.500, 0.000, 0.500], [0.500, 0.500, 0.000], [0.000, 0.000, 0.500]]
}

[3]
{
  "formula": "ZrP2Rh",
  "functional": "PBE",
  "state": "relaxed",
  "space_group": "Pmmm (47)",
  "n_ef_per_ev_atom": 0.6475,
  "crystal_system": "orthorhombic",
  "formation_energy_ev_per_atom": -0.79,
  "relative_energy_kj_per_mol_fu": 17,
  "density_g_cm3": 6.49,
  "cell": [[3.386, 0.000, 0.000], [0.000, 3.681, 0.000], [0.000, 0.000, 5.258]],
  "species": ["Zr", "P", "P", "Rh"],
  "fractional_positions": [[0.000, 0.000, 0.000], [0.500, 0.500, 0.224], [0.500, 0.500, 0.776], [0.500, 0.000, 0.500]]
}

[4]
{
  "formula": "Cu2Te4Pd",
  "functional": "PBE",
  "state": "relaxed",
  "space_group": "C2/c (15)",
  "formation_energy_uncorrected_ev_per_fu": -0.27,
  "n_ef_per_ev_atom": 0.8445,
  "crystal_system": "monoclinic",
  "relative_energy_kj_per_mol_fu": 50,
  "density_g_cm3": 7.07,
  "cell": [[5.587, -5.577, 0.000], [5.587, 5.577, 0.000], [-5.569, 0.000, 5.606]],
  "species": ["Cu", "Cu", "Cu", "Cu", "Te", "Te", "Te", "Te", "Te", "Te", "Te", "Te", "Pd", "Pd"],
  "fractional_positions": [[0.000, 0.000, 0.000], [0.000, 0.000, 0.500], [0.000, 0.500, 0.000], [0.500, 0.000, 0.500], [0.221, 0.240, 0.980], [0.240, 0.221, 0.480], [0.240, 0.759, 0.480], [0.241, 0.760, 0.020], [0.759, 0.240, 0.980], [0.760, 0.241, 0.520], [0.760, 0.779, 0.520], [0.779, 0.760, 0.020], [0.376, 0.624, 0.750], [0.624, 0.376, 0.250]]
}

[5]
{
  "formula": "Te2AuCl",
  "functional": "PBE",
  "state": "relaxed",
  "space_group": "Cmmm (65)",
  "formation_energy_uncorrected_ev_per_fu": 0.08,
  "n_ef_per_ev_atom": 0.8291,
  "crystal_system": "orthorhombic",
  "density_g_cm3": 7.49,
  "cell": [[2.055, -3.193, 0.000], [2.055, 3.193, 0.000], [0.000, 0.000, 8.233]],
  "species": ["Te", "Te", "Au", "Cl"],
  "fractional_positions": [[0.000, 0.000, 0.216], [0.000, 0.000, 0.784], [0.500, 0.500, 0.000], [0.500, 0.500, 0.500]]
}

[6]
{
  "formula": "Cs3AgSn",
  "functional": "PBE",
  "state": "relaxed",
  "space_group": "Pm-3m (221)",
  "n_ef_per_ev_atom": 1.2223,
  "crystal_system": "cubic",
  "formation_energy_ev_per_atom": 0.20,
  "relative_energy_kj_per_mol_fu": 0,
  "density_g_cm3": 3.15,
  "cell": [[6.906, 0.000, 0.000], [0.000, 6.906, 0.000], [0.000, 0.000, 6.906]],
  "species": ["Cs", "Cs", "Cs", "Ag", "Sn"],
  "fractional_positions": [[0.000, 0.000, 0.500], [0.000, 0.500, 0.000], [0.500, 0.000, 0.000], [0.000, 0.000, 0.000], [0.500, 0.500, 0.500]]
}

[7]
{
  "formula": "ScNbW2",
  "functional": "PBE",
  "state": "relaxed",
  "space_group": "I-42d (122)",
  "n_ef_per_ev_atom": 1.0607,
  "crystal_system": "tetragonal",
  "formation_energy_ev_per_atom": 0.88,
  "relative_energy_kj_per_mol_fu": 237,
  "density_g_cm3": 11.04,
  "cell": [[-3.707, 3.707, 2.766], [3.707, -3.707, 2.766], [3.707, 3.707, -2.766]],
  "species": ["Sc", "Sc", "Nb", "Nb", "W", "W", "W", "W"],
  "fractional_positions": [[0.000, 0.000, 0.000], [0.750, 0.250, 0.500], [0.250, 0.750, 0.500], [0.500, 0.500, 0.000], [0.142, 0.625, 0.017], [0.375, 0.392, 0.517], [0.608, 0.125, 0.983], [0.875, 0.858, 0.483]]
}

[8]
{
  "formula": "Y3CrI",
  "functional": "PBE",
  "state": "relaxed",
  "space_group": "Pm-3m (221)",
  "formation_energy_uncorrected_ev_per_fu": 1.47,
  "n_ef_per_ev_atom": 1.5942,
  "crystal_system": "cubic",
  "relative_energy_kj_per_mol_fu": 0,
  "density_g_cm3": 4.95,
  "cell": [[5.308, 0.000, 0.000], [0.000, 5.308, 0.000], [0.000, 0.000, 5.308]],
  "species": ["Y", "Y", "Y", "Cr", "I"],
  "fractional_positions": [[0.000, 0.000, 0.500], [0.000, 0.500, 0.000], [0.500, 0.000, 0.000], [0.000, 0.000, 0.000], [0.500, 0.500, 0.500]]
}

Number 1: total energy -2.894 eV per atom. Number 2: total energy -0.758 eV per atom. Number 3: total energy -7.473 eV per atom. Number 4: total energy -3.746 eV per atom. Number 5: total energy -2.831 eV per atom. Number 6: total energy -1.681 eV per atom. Number 7: total energy -9.695 eV per atom. Number 8: total energy -5.819 eV per atom.